Entry 1:
Here is BiPBr3 after structural relaxation from the Alexandria database. Energies are from PBE.

Cell lengths 5.750, 5.750, 5.750 Å; angles 90.00, 90.00, 90.00 degrees
Space group Pm-3m (No. 221)
Inequivalent atoms, fractional coordinates:
Bi (0.000, 0.000, 0.000) (multiplicity 1)
P (0.500, 0.500, 0.500) (multiplicity 1)
Br (0.000, 0.000, 0.500) (multiplicity 3)

## Properties
* crystal system: cubic
* ρ: 4.190 g cm⁻³
* size of the total moment: 0.598 μB per atom
* D(E_F): 0.212 states/eV per atom

---

Entry 2:
Here is BiPBr2 after structural relaxation from the Alexandria database. Energies are from PBE.

Cell lengths 4.659, 4.659, 19.839 Å; angles 90.00, 90.00, 90.00 degrees
Space group I-42d (No. 122)
Inequivalent atoms, fractional coordinates:
Bi (0.000, 0.000, 0.000) (multiplicity 4)
P (0.000, 0.000, 0.500) (multiplicity 4)
Br (0.241, 0.250, 0.625) (multiplicity 8)

## Properties
* crystal system: tetragonal
* ρ: 6.167 g cm⁻³
* size of the total moment: 0.000 μB per atom
* D(E_F): 0.151 states/eV per atom

---

Entry 3:
Here is BiP3Br after structural relaxation from the Alexandria database. Energies are from PBE.

Cell lengths 5.469, 5.469, 5.469 Å; angles 90.00, 90.00, 90.00 degrees
Space group Pm-3m (No. 221)
Inequivalent atoms, fractional coordinates:
Bi (0.000, 0.000, 0.000) (multiplicity 1)
P (0.000, 0.000, 0.500) (multiplicity 3)
Br (0.500, 0.500, 0.500) (multiplicity 1)

## Properties
* crystal system: cubic
* ρ: 3.875 g cm⁻³
* size of the total moment: 0.960 μB per atom
* D(E_F): 1.072 states/eV per atom

---

Entry 4:
Here is BiPBr3 after structural relaxation from the Alexandria database. Energies are from PBE.

Cell lengths 5.181, 5.181, 5.181 Å; angles 90.00, 90.00, 90.00 degrees
Space group Pm-3m (No. 221)
Inequivalent atoms, fractional coordinates:
Bi (0.000, 0.000, 0.000) (multiplicity 1)
P (0.500, 0.500, 0.500) (multiplicity 1)
Br (0.000, 0.500, 0.500) (multiplicity 3)

## Properties
* crystal system: cubic
* ρ: 5.729 g cm⁻³
* size of the total moment: 0.000 μB per atom
* D(E_F): 0.784 states/eV per atom

---

Entry 5:
Here is Pr3BiPBr after structural relaxation from the Alexandria database. Energies are from PBE.

Cell lengths 7.498, 4.290, 11.703 Å; angles 90.00, 102.11, 90.00 degrees
Space group P2_1/m (No. 11)
Inequivalent atoms, fractional coordinates:
Pr (0.041, 0.250, 0.139) (multiplicity 2)
Pr (0.283, 0.250, 0.497) (multiplicity 2)
Pr (0.451, 0.750, 0.854) (multiplicity 2)
Bi (0.344, 0.750, 0.299) (multiplicity 2)
P (0.234, 0.250, 0.944) (multiplicity 2)
Br (0.124, 0.750, 0.636) (multiplicity 2)

## Properties
* crystal system: monoclinic
* ρ: 6.701 g cm⁻³
* size of the total moment: 0.000 μB per atom
* D(E_F): 0.555 states/eV per atom

---

Entry 6:
Here is Rb2BiPBr6 after structural relaxation from the Alexandria database. Energies are from PBE.

Cell lengths 7.921, 7.921, 11.392 Å; angles 90.00, 90.00, 90.00 degrees
Space group I4/mmm (No. 139)
Inequivalent atoms, fractional coordinates:
Rb (0.000, 0.500, 0.250) (multiplicity 4)
Bi (0.000, 0.000, 0.000) (multiplicity 2)
P (0.000, 0.000, 0.500) (multiplicity 2)
Br (0.000, 0.000, 0.259) (multiplicity 4)
Br (0.238, 0.238, 0.500) (multiplicity 8)

## Properties
* crystal system: tetragonal
* ρ: 4.136 g cm⁻³
* size of the total moment: 0.000 μB per atom
* D(E_F): 0.377 states/eV per atom

---

Entry 7:
Here is BiPS2Br after structural relaxation from the Alexandria database. Energies are from PBE.

Cell lengths 5.130, 5.130, 5.772 Å; angles 90.00, 90.00, 90.00 degrees
Space group P4/mmm (No. 123)
Inequivalent atoms, fractional coordinates:
Bi (0.000, 0.000, 0.000) (multiplicity 1)
P (0.000, 0.000, 0.500) (multiplicity 1)
S (0.000, 0.500, 0.000) (multiplicity 2)
Br (0.500, 0.500, 0.500) (multiplicity 1)

## Properties
* crystal system: tetragonal
* ρ: 4.197 g cm⁻³
* size of the total moment: 0.174 μB per atom
* D(E_F): 1.301 states/eV per atom

---

Entry 8:
Here is BiP2SBr after structural relaxation from the Alexandria database. Energies are from PBE.

Cell lengths 5.531, 5.531, 5.129 Å; angles 90.00, 90.00, 90.00 degrees
Space group P4/mmm (No. 123)
Inequivalent atoms, fractional coordinates:
Bi (0.000, 0.000, 0.000) (multiplicity 1)
P (0.000, 0.500, 0.000) (multiplicity 2)
S (0.000, 0.000, 0.500) (multiplicity 1)
Br (0.500, 0.500, 0.500) (multiplicity 1)

## Properties
* crystal system: tetragonal
* ρ: 4.052 g cm⁻³
* size of the total moment: 0.557 μB per atom
* D(E_F): 1.100 states/eV per atom

---

Entry 9:
Here is BiPS2Br after structural relaxation from the Alexandria database. Energies are from PBE.

Cell lengths 4.822, 4.822, 5.022 Å; angles 90.00, 90.00, 90.00 degrees
Space group P4/mmm (No. 123)
Inequivalent atoms, fractional coordinates:
Bi (0.000, 0.000, 0.000) (multiplicity 1)
P (0.500, 0.500, 0.000) (multiplicity 1)
S (0.000, 0.500, 0.500) (multiplicity 2)
Br (0.500, 0.500, 0.500) (multiplicity 1)

## Properties
* crystal system: tetragonal
* ρ: 5.461 g cm⁻³
* size of the total moment: 0.000 μB per atom
* D(E_F): 0.806 states/eV per atom

---

Entry 10:
Here is BiP2SBr after structural relaxation from the Alexandria database. Energies are from PBE.

Cell lengths 4.954, 4.954, 4.737 Å; angles 90.00, 90.00, 90.00 degrees
Space group P4/mmm (No. 123)
Inequivalent atoms, fractional coordinates:
Bi (0.000, 0.000, 0.000) (multiplicity 1)
P (0.000, 0.500, 0.500) (multiplicity 2)
S (0.500, 0.500, 0.000) (multiplicity 1)
Br (0.500, 0.500, 0.500) (multiplicity 1)

## Properties
* crystal system: tetragonal
* ρ: 5.468 g cm⁻³
* size of the total moment: 0.000 μB per atom
* D(E_F): 0.435 states/eV per atom

---

Entry 11:
Here is BiPSeBr2 after structural relaxation from the Alexandria database. Energies are from PBE.

Cell lengths 4.996, 4.996, 5.222 Å; angles 90.00, 90.00, 90.00 degrees
Space group P4/mmm (No. 123)
Inequivalent atoms, fractional coordinates:
Bi (0.000, 0.000, 0.000) (multiplicity 1)
P (0.500, 0.500, 0.500) (multiplicity 1)
Se (0.500, 0.500, 0.000) (multiplicity 1)
Br (0.000, 0.500, 0.500) (multiplicity 2)

## Properties
* crystal system: tetragonal
* ρ: 6.099 g cm⁻³
* size of the total moment: 0.000 μB per atom
* D(E_F): 0.411 states/eV per atom

---

Entry 12:
Here is BiPSeBr2 after structural relaxation from the Alexandria database. Energies are from PBE.

Cell lengths 5.664, 5.664, 5.787 Å; angles 90.00, 90.00, 90.00 degrees
Space group P4/mmm (No. 123)
Inequivalent atoms, fractional coordinates:
Bi (0.000, 0.000, 0.000) (multiplicity 1)
P (0.500, 0.500, 0.500) (multiplicity 1)
Se (0.000, 0.000, 0.500) (multiplicity 1)
Br (0.000, 0.500, 0.000) (multiplicity 2)

## Properties
* crystal system: tetragonal
* ρ: 4.283 g cm⁻³
* size of the total moment: 0.401 μB per atom
* D(E_F): 0.662 states/eV per atom

---

| no. | raw formation energy (eV per atom) |
| --- | --- |
| 1 | 0.216 |
| 2 | 0.262 |
| 3 | 1.418 |
| 4 | 0.256 |
| 5 | -1.224 |
| 6 | -0.829 |
| 7 | 0.947 |
| 8 | 1.157 |
| 9 | 0.960 |
| 10 | 1.094 |
| 11 | 0.205 |
| 12 | 0.497 |